(1)
This record from the Alexandria database describes a relaxed structure of SrV2GaO8. The functional is PBE+U.

Unit cell a=5.5653 b=5.5653 c=6.8306 alpha=90.00 beta=90.00 gamma=120.00
Fractional positions:
Sr1 0.0000 0.0000 0.0000
V1 0.3333 0.6667 0.7543
V2 0.6667 0.3333 0.2457
Ga1 0.0000 0.0000 0.5000
O1 0.1590 0.3180 0.6805
O2 0.1590 0.8410 0.6805
O3 0.3180 0.1590 0.3195
O4 0.3333 0.6667 0.0011
O5 0.6667 0.3333 0.9989
O6 0.6820 0.8410 0.6805
O7 0.8410 0.1590 0.3195
O8 0.8410 0.6820 0.3195

- space-group type = No. 164
- DFT total energy (eV/atom) = -6.88
- magnetic moment (μB per formula unit) = 1.0

---

(2)
This record from the Alexandria database describes a relaxed structure of Sr2YV2GaO7. The functional is PBE+U.

Unit cell a=11.9377 b=11.9377 c=5.8381 alpha=104.05 beta=104.05 gamma=27.46
Fractional positions:
Sr1 0.1550 0.1550 0.1260
Sr2 0.3433 0.3475 0.3158
Sr3 0.6525 0.6567 0.6842
Sr4 0.8450 0.8450 0.8740
Y1 0.0101 0.9899 0.0000
Y2 0.5122 0.4878 0.5000
V1 0.0911 0.0599 0.5741
V2 0.4400 0.4095 0.9225
V3 0.5905 0.5600 0.0775
V4 0.9401 0.9089 0.4259
Ga1 0.2291 0.2713 0.6754
Ga2 0.7287 0.7709 0.3246
O1 0.1606 0.7045 0.1302
O2 0.2182 0.1354 0.7323
O3 0.2523 0.6056 0.6384
O4 0.2955 0.8394 0.8698
O5 0.3622 0.2866 0.8765
O6 0.3944 0.7477 0.3616
O7 0.3963 0.1043 0.3902
O8 0.6482 0.2186 0.2176
O9 0.7134 0.6378 0.1235
O10 0.7388 0.1188 0.7357
O11 0.7814 0.3518 0.7824
O12 0.8646 0.7818 0.2677
O13 0.8812 0.2612 0.2643
O14 0.8957 0.6037 0.6098

- space-group type = No. 5
- DFT total energy (eV/atom) = -7.16
- magnetic moment (μB per formula unit) = 6.0

---

(3)
This record from the Alexandria database describes a relaxed structure of Sr2GaWO6. The functional is PBE+U.

Unit cell a=5.6615 b=5.6142 c=9.7879 alpha=90.00 beta=125.21 gamma=90.00
Fractional positions:
Sr1 0.2469 0.0094 0.2487
Sr2 0.2469 0.4906 0.7487
Sr3 0.7531 0.5094 0.2513
Sr4 0.7531 0.9906 0.7513
Ga1 0.0000 0.0000 0.5000
Ga2 0.0000 0.5000 0.0000
W1 0.5000 0.0000 0.0000
W2 0.5000 0.5000 0.5000
O1 0.2035 0.2399 0.9708
O2 0.2035 0.2601 0.4708
O3 0.2459 0.7427 0.9755
O4 0.2459 0.7573 0.4755
O5 0.2993 0.0016 0.7472
O6 0.2993 0.4984 0.2472
O7 0.7007 0.5016 0.7528
O8 0.7007 0.9984 0.2528
O9 0.7541 0.2427 0.5245
O10 0.7541 0.2573 0.0245
O11 0.7965 0.7399 0.5292
O12 0.7965 0.7601 0.0292

- space-group type = No. 14
- DFT total energy (eV/atom) = -6.77
- magnetic moment (μB per formula unit) = 1.0

---

(4)
This record from the Alexandria database describes a relaxed structure of SrGaWO5. The functional is PBE+U.

Unit cell a=5.8559 b=5.8559 c=7.6433 alpha=104.77 beta=104.77 gamma=106.15
Fractional positions:
Sr1 0.1745 0.8255 0.7500
Sr2 0.8255 0.1745 0.2500
Ga1 0.1893 0.8107 0.2500
Ga2 0.8107 0.1893 0.7500
W1 0.5000 0.5000 0.0000
W2 0.5000 0.5000 0.5000
O1 0.1462 0.2598 0.9017
O2 0.2020 0.6134 0.4051
O3 0.2598 0.1462 0.4017
O4 0.3866 0.7980 0.0949
O5 0.4385 0.5615 0.7500
O6 0.5615 0.4385 0.2500
O7 0.6134 0.2020 0.9051
O8 0.7402 0.8538 0.5983
O9 0.7980 0.3866 0.5949
O10 0.8538 0.7402 0.0983

- space-group type = No. 15
- DFT total energy (eV/atom) = -6.91
- magnetic moment (μB per formula unit) = 1.0